{
  "formula": "BaY2Pb",
  "functional": "PBE-GGA",
  "state": "optimized geometry",
  "e_tot_ev_per_cell": -18.61,
  "vol_a3_per_cell": 141,
  "e_form_mev_per_atom": -12.4,
  "lattice": [[-1.6668, -9.7784, 6.5556], [1.4051, -10.8254, 4.7127], [1.6999, -8.7884, 7.8260]],
  "species": ["Ba", "Pb", "Y", "Y"],
  "fractional_positions": [[0.2500, 0.2500, 0.2500], [0.7500, 0.7500, 0.7500], [0.0105, 0.0105, 0.0105], [0.4895, 0.4895, 0.4895]]
}

{
  "formula": "BaYPb",
  "functional": "PBE-GGA",
  "state": "optimized geometry",
  "e_tot_ev_per_cell": -12.85,
  "vol_a3_per_cell": 114,
  "e_form_mev_per_atom": -250.1,
  "lattice": [[7.1653, -0.0034, 0.0059], [4.6825, 5.4237, -0.0059], [-5.7003, -3.1988, 2.9352]],
  "species": ["Ba", "Pb", "Y"],
  "fractional_positions": [[0.9882, 0.9882, 0.0000], [0.3023, 0.3023, 0.0000], [0.7095, 0.7095, 0.0000]]
}

{
  "formula": "BaY2Pb",
  "functional": "PBE-GGA",
  "state": "optimized geometry",
  "e_tot_ev_per_cell": -18.90,
  "vol_a3_per_cell": 134,
  "e_form_mev_per_atom": -86.0,
  "lattice": [[6.4767, 0.0017, 0.0000], [2.6859, 5.8935, 0.0000], [-4.5813, -2.9476, 3.5030]],
  "species": ["Ba", "Pb", "Y", "Y"],
  "fractional_positions": [[0.5000, 0.5000, 0.0000], [0.7500, 0.2500, 0.5000], [0.0000, 0.0000, 0.0000], [0.2500, 0.7500, 0.5000]]
}

{
  "formula": "BaY2Pb",
  "functional": "PBE-GGA",
  "state": "optimized geometry",
  "e_tot_ev_per_cell": -18.92,
  "vol_a3_per_cell": 142,
  "e_form_mev_per_atom": -91.1,
  "lattice": [[5.5095, 0.0000, 0.0000], [0.0000, 3.7968, 0.0366], [0.0000, 1.4390, 6.7917]],
  "species": ["Ba", "Pb", "Y", "Y"],
  "fractional_positions": [[0.5000, 0.2500, 0.2500], [0.5000, 0.7500, 0.7500], [0.0000, 0.9159, 0.9646], [0.0000, 0.5841, 0.5354]]
}

{
  "formula": "BaYPb",
  "functional": "PBE-GGA",
  "state": "optimized geometry",
  "e_tot_ev_per_cell": -12.97,
  "vol_a3_per_cell": 119,
  "e_form_mev_per_atom": -292.4,
  "lattice": [[5.3141, 0.0000, 0.0000], [-2.6571, 4.6021, 0.0000], [0.0000, 0.0000, 4.8713]],
  "species": ["Ba", "Pb", "Y"],
  "fractional_positions": [[0.0000, 0.0000, 0.9999], [0.3333, 0.6667, 0.4997], [0.6667, 0.3333, 0.5004]]
}

{
  "formula": "Ba2YPb",
  "functional": "PBE-GGA",
  "state": "optimized geometry",
  "e_tot_ev_per_cell": -14.55,
  "vol_a3_per_cell": 153,
  "e_form_mev_per_atom": -132.2,
  "lattice": [[-0.0625, -3.6813, -3.6709], [2.7058, -3.1604, 3.1233], [-4.8263, -2.0345, 2.1225]],
  "species": ["Ba", "Ba", "Pb", "Y"],
  "fractional_positions": [[0.0000, 0.0000, 0.0000], [0.5000, 0.5000, 0.0000], [0.5000, 0.0000, 0.5000], [0.0000, 0.5000, 0.5000]]
}

{
  "formula": "BaY2Pb",
  "functional": "PBE-GGA",
  "state": "optimized geometry",
  "e_tot_ev_per_cell": -19.17,
  "vol_a3_per_cell": 145,
  "e_form_mev_per_atom": -152.7,
  "lattice": [[-0.3303, -2.8041, -6.4565], [3.5567, -2.6374, -5.4821], [0.3063, -5.9741, -0.1994]],
  "species": ["Ba", "Pb", "Y", "Y"],
  "fractional_positions": [[0.2500, 0.2500, 0.2500], [0.7500, 0.7500, 0.7500], [0.0410, 0.0410, 0.9590], [0.4590, 0.4590, 0.5410]]
}

{
  "formula": "Ba2ZnPb",
  "functional": "PBE-GGA",
  "state": "optimized geometry",
  "e_tot_ev_per_cell": -8.86,
  "vol_a3_per_cell": 171,
  "e_form_mev_per_atom": -6.9,
  "lattice": [[7.0769, -4.5189, -6.1784], [-4.0622, 7.3486, 6.1784], [-4.9454, 2.2480, 8.8975]],
  "species": ["Ba", "Ba", "Zn", "Pb"],
  "fractional_positions": [[0.0000, 0.1593, 0.1593], [0.0000, 0.8407, 0.8407], [0.0000, 0.0000, 0.0000], [0.0000, 0.5000, 0.5000]]
}

{
  "formula": "BaZnPb2",
  "functional": "PBE-GGA",
  "state": "optimized geometry",
  "e_tot_ev_per_cell": -11.47,
  "vol_a3_per_cell": 134,
  "e_form_mev_per_atom": -214.8,
  "lattice": [[4.9273, 0.0000, 0.0000], [0.0000, 4.8830, -0.5865], [0.0000, 0.6747, 5.4944]],
  "species": ["Ba", "Pb", "Pb", "Zn"],
  "fractional_positions": [[0.5000, 0.8746, 0.6808], [0.0000, 0.8758, 0.1717], [0.5000, 0.3746, 0.1745], [0.0000, 0.3750, 0.4729]]
}

{
  "formula": "BaZnPb2",
  "functional": "PBE-GGA",
  "state": "optimized geometry",
  "e_tot_ev_per_cell": -11.57,
  "vol_a3_per_cell": 134,
  "e_form_mev_per_atom": -238.0,
  "lattice": [[-4.8723, -1.6963, -0.5917], [-1.6441, -4.8467, 0.8795], [-2.5696, 0.1029, 5.8591]],
  "species": ["Ba", "Pb", "Pb", "Zn"],
  "fractional_positions": [[0.2500, 0.2500, 0.2500], [0.0081, 0.0081, 0.9127], [0.4919, 0.4919, 0.5873], [0.7500, 0.7500, 0.7500]]
}

{
  "formula": "BaZnPb",
  "functional": "PBE-GGA",
  "state": "optimized geometry",
  "e_tot_ev_per_cell": -31.19,
  "vol_a3_per_cell": 410,
  "e_form_mev_per_atom": -297.3,
  "lattice": [[-4.1236, -7.5756, -6.4262], [2.3887, -3.5480, 2.6497], [-6.0025, -0.6194, 4.5818]],
  "species": ["Pb", "Pb", "Pb", "Pb", "Zn", "Zn", "Zn", "Zn", "Ba", "Ba", "Ba", "Ba"],
  "fractional_positions": [[0.5002, 0.2500, 0.1413], [0.9998, 0.7500, 0.6413], [0.4998, 0.7500, 0.8587], [0.0002, 0.2500, 0.3587], [0.0000, 0.0000, 0.0000], [0.5000, 0.5000, 0.5000], [0.5000, 0.0000, 0.5000], [0.0000, 0.5000, 0.0000], [0.7499, 0.2500, 0.7501], [0.7501, 0.7500, 0.2501], [0.2501, 0.7500, 0.2499], [0.2499, 0.2500, 0.7499]]
}

{
  "formula": "BaZnPb2",
  "functional": "PBE-GGA",
  "state": "optimized geometry",
  "e_tot_ev_per_cell": -10.85,
  "vol_a3_per_cell": 129,
  "e_form_mev_per_atom": -59.9,
  "lattice": [[6.1535, 0.0288, 0.0000], [-2.2152, 5.7410, 0.0000], [0.0000, 0.0000, 3.6576]],
  "species": ["Ba", "Pb", "Pb", "Zn"],
  "fractional_positions": [[0.0000, 0.5000, 0.5000], [0.0000, 0.0000, 0.0000], [0.5000, 0.5000, 0.0000], [0.5000, 0.0000, 0.5000]]
}

> Which formula does entry 1 have?

BaY2Pb